DFT (GGA-PBE) results for a relaxed BaTe3S6 crystal.

The calculated total energy comes out at -159.5 eV/cell. The value obtained for the total magnetization is 0.00 μB per atom. For the raw formation energy, the calculation gives -375 meV/atom.

The space group is Cmc2_1 (No. 36) and the conventional cell measures 10.311, 15.250 and 7.343 Å, with angles of 90.00, 90.00 and 90.00 degrees. The inequivalent atoms are Ba at (0.000, 0.230, 0.000), Te at (0.000, 0.053, 0.409), Te at (0.171, 0.429, 0.694), S at (0.000, 0.323, 0.567), S at (0.000, 0.439, 0.972), S at (0.175, 0.061, 0.886) and S at (0.208, 0.187, 0.335).

***

DFT (GGA-PBE) results for a relaxed BaTeS crystal.

The calculated total energy comes out at -51.7 eV/cell. The value obtained for the total magnetization is 0.00 μB per atom. For the raw formation energy, the calculation gives -1243 meV/atom.

The space group is P2_1/c (No. 14) and the conventional cell measures 7.983, 7.003 and 8.330 Å, with angles of 90.00, 90.30 and 90.00 degrees. The inequivalent atoms are Ba at (0.234, 0.048, 0.295), Te at (0.350, 0.555, 0.381) and S at (0.148, 0.046, 0.665).

***

DFT (GGA-PBE) results for a relaxed Ba2TeS crystal.

The calculated total energy comes out at -55.6 eV/cell. The density of states at the Fermi level is 0.00 states/eV/cell. The value obtained for the total magnetization is 0.00 μB per atom. For the raw formation energy, the calculation gives -1852 meV/atom.

The space group is R3m (No. 160, hexagonal axes) and the conventional cell measures 4.6824, 4.6824 and 24.5042 Å, with angles of 90.00, 90.00 and 120.00 degrees. The inequivalent atoms are Ba at (0.0000, 0.0000, 0.0000), Ba at (0.0000, 0.0000, 0.1829), Te at (0.0000, 0.0000, 0.4242) and S at (0.0000, 0.0000, 0.5926).

***

DFT (GGA-PBE) results for a relaxed Ba5Te4S crystal.

The calculated total energy comes out at -89.1 eV/cell. The density of states at the Fermi level is 0.00 states/eV/cell. The value obtained for the total magnetization is 0.00 μB per atom. For the raw formation energy, the calculation gives -1822 meV/atom.

The space group is Immm (No. 71) and the conventional cell measures 4.897, 6.994 and 24.695 Å, with angles of 90.00, 90.00 and 90.00 degrees. The inequivalent atoms are Ba at (0.000, 0.000, 0.000), Ba at (0.000, 0.000, 0.202), Ba at (0.000, 0.000, 0.410), Te at (0.000, 0.500, 0.195), Te at (0.000, 0.500, 0.401) and S at (0.000, 0.500, 0.000).